Record 1
A plane-wave DFT calculation with PBE-GGA was carried out for crystalline PmErCd2Hg4 at its relaxed geometry.

Results
calculated density	11.70	g/cm³
N(E_F)	3.55	states/eV/cell
formation energy from the elements	-0.376	eV/atom
space-group type	R-3m (166)

Cell: 5.1126 5.1126 8.9017 Å, 73.31 73.31 60.00°
Closest atoms and distances in Å follow each position.
Element x y z (fractional)
Pm1 0.0000 0.0000 0.0000  8 Hg 3.16-3.21
Er1 0.5000 0.5000 0.5000  8 Hg 3.07-3.11
Cd1 0.7496 0.7496 0.7512  8 Hg 3.10-3.21
Cd2 0.2504 0.2504 0.2488  8 Hg 3.10-3.21
Hg1 0.3780 0.3780 0.8660  1 Er 3.07, 4 Cd 3.11-3.21, 3 Pm 3.16
Hg2 0.8726 0.8726 0.3823  4 Cd 3.10-3.16, 3 Er 3.11, 1 Pm 3.21
Hg3 0.1274 0.1274 0.6177  4 Cd 3.10-3.16, 3 Er 3.11, 1 Pm 3.21
Hg4 0.6220 0.6220 0.1340  1 Er 3.07, 4 Cd 3.11-3.21, 3 Pm 3.16

Record 2
A plane-wave DFT calculation with PBE-GGA was carried out for crystalline Ca2Ac5Co2 at its relaxed geometry.

Results
calculated density	6.76	g/cm³
N(E_F)	19.85	states/eV/cell
formation energy from the elements	0.066	eV/atom
space-group type	Ima2 (46)

Cell: 6.8170 7.7874 13.3798 Å, 106.92 104.76 90.00°
Closest atoms and distances in Å follow each position.
Element x y z (fractional)
Ca1 0.6306 0.4260 0.6355  2 Co 3.05-3.19, 1 Ca 3.34
Ca2 0.3694 0.7904 0.3644  2 Co 3.05-3.19, 1 Ca 3.34
Ca3 0.5050 0.9260 0.6355  2 Co 3.05-3.19, 1 Ca 3.34
Ca4 0.4950 0.2904 0.3644  2 Co 3.05-3.19, 1 Ca 3.34
Ac1 0.7005 0.7203 0.9202  2 Co 2.76-2.78
Ac2 0.2995 0.8001 0.0798  2 Co 2.76-2.78
Ac3 0.7197 0.2203 0.9202  2 Co 2.76-2.78
Ac4 0.2803 0.3001 0.0798  2 Co 2.76-2.78
Ac5 0.0755 0.8619 0.7787  1 Co 3.02
Ac6 0.9245 0.0832 0.2213  1 Co 3.02
Ac7 0.2033 0.3619 0.7787  1 Co 3.02
Ac8 0.7967 0.5832 0.2213  1 Co 3.02
Ac9 0.9201 0.9833 0.5000  2 Co 2.72-2.73
Ac10 0.0799 0.4833 0.5000  2 Co 2.72-2.73
Co1 0.0000 0.0013 0.0000  6 Ac 2.76-3.02
Co2 0.5000 0.5013 0.0000  6 Ac 2.76-3.02
Co3 0.7420 0.6695 0.5000  2 Ac 2.72-2.73, 2 Ca 3.05
Co4 0.2580 0.1695 0.5000  2 Ac 2.72-2.73, 2 Ca 3.05

Record 3
A plane-wave DFT calculation with PBE-GGA was carried out for crystalline Cd2IrW at its relaxed geometry.

Results
calculated density	13.73	g/cm³
N(E_F)	2.08	states/eV/cell
formation energy from the elements	0.130	eV/atom
space-group type	R3m (160)

Cell: 10.2292 10.2292 10.2292 Å, 16.21 16.21 16.21°
Closest atoms and distances in Å follow each position.
Element x y z (fractional)
Ir1 0.4926 0.4926 0.4926  3 W 2.64, 6 Ir 2.88
W1 0.7584 0.7584 0.7584  3 Ir 2.64, 6 W 2.88
Cd1 0.0069 0.0069 0.0069  6 Cd 2.88, 3 W 3.06
Cd2 0.2421 0.2421 0.2421  6 Cd 2.88, 3 Ir 3.01

Record 4
A plane-wave DFT calculation with PBE-GGA was carried out for crystalline MgTa2P2 at its relaxed geometry.

Results
calculated density	9.53	g/cm³
N(E_F)	1.22	states/eV/cell
formation energy from the elements	-0.514	eV/atom
space-group type	P4/mbm (127)

Cell: 6.9566 6.9566 3.2261 Å, 90.00 90.00 90.00°
Closest atoms and distances in Å follow each position.
Element x y z (fractional)
P1 0.3578 0.8578 0.0000  6 Ta 2.60, 2 Mg 2.68, 1 P 2.80
P2 0.8578 0.6422 0.0000  6 Ta 2.60, 2 Mg 2.68, 1 P 2.80
P3 0.6422 0.1422 0.0000  6 Ta 2.60, 2 Mg 2.68, 1 P 2.80
P4 0.1422 0.3578 0.0000  6 Ta 2.60, 2 Mg 2.68, 1 P 2.80
Mg1 0.0000 0.0000 0.0000  4 P 2.68
Mg2 0.5000 0.5000 0.0000  4 P 2.68
Ta1 0.1507 0.6507 0.5000  6 P 2.60
Ta2 0.6507 0.8493 0.5000  6 P 2.60
Ta3 0.8493 0.3493 0.5000  6 P 2.60
Ta4 0.3493 0.1507 0.5000  6 P 2.60

Record 5
A plane-wave DFT calculation with PBE-GGA was carried out for crystalline Y2MnCuN at its relaxed geometry.

Results
calculated density	5.97	g/cm³
N(E_F)	2.74	states/eV/cell
E_form (uncorrected)	-0.644	eV per atom
space-group type	P4/mmm (123)

Cell: 4.8841 4.8841 3.6179 Å, 90.00 90.00 90.00°
Closest atoms and distances in Å follow each position.
Element x y z (fractional)
Y1 0.0000 0.5000 0.0000  2 N 2.44
Y2 0.5000 0.0000 0.0000  2 N 2.44
Mn1 0.0000 0.0000 0.5000  2 N 1.81
Cu1 0.5000 0.5000 0.5000  8 Y 3.04
N1 0.0000 0.0000 0.0000  2 Mn 1.81

Record 6
A plane-wave DFT calculation with PBE-GGA was carried out for crystalline Ti3AlCu2 at its relaxed geometry.

Results
calculated density	5.50	g/cm³
N(E_F)	5.39	states/eV/cell
formation energy from the elements	-0.183	eV/atom
space-group type	P4/mmm (123)

Cell: 2.8096 2.8096 11.3747 Å, 90.00 90.00 90.00°
Closest atoms and distances in Å follow each position.
Element x y z (fractional)
Ti1 0.0000 0.0000 0.0000  8 Cu 2.71, 4 Ti 2.81
Ti2 0.0000 0.0000 0.6752  4 Cu 2.72, 4 Ti 2.81, 4 Al 2.81
Ti3 0.0000 0.0000 0.3248  4 Cu 2.72, 4 Ti 2.81, 4 Al 2.81
Al1 0.5000 0.5000 0.5000  4 Al 2.81, 8 Ti 2.81
Cu1 0.5000 0.5000 0.8382  8 Ti 2.71-2.72, 4 Cu 2.81
Cu2 0.5000 0.5000 0.1618  8 Ti 2.71-2.72, 4 Cu 2.81

Record 7
A plane-wave DFT calculation with PBE-GGA was carried out for crystalline Bi2Se at its relaxed geometry.

Results
calculated density	9.04	g/cm³
N(E_F)	4.87	states/eV/cell
E_form (uncorrected)	-0.081	eV per atom
space-group type	Cmce (64)

Cell: 7.5662 7.5662 12.0644 Å, 90.00 90.00 148.07°
Closest atoms and distances in Å follow each position.
Element x y z (fractional)
Bi1 0.0080 0.9920 0.8639  2 Se 3.12, 5 Bi 3.29-3.45
Bi2 0.4920 0.5080 0.3639  2 Se 3.12, 5 Bi 3.29-3.45
Bi3 0.9920 0.0080 0.1361  2 Se 3.12, 5 Bi 3.29-3.45
Bi4 0.5080 0.4920 0.6361  2 Se 3.12, 5 Bi 3.29-3.45
Bi5 0.3294 0.6706 0.8745  1 Se 2.79
Bi6 0.1706 0.8294 0.3745  1 Se 2.79
Bi7 0.6706 0.3294 0.1255  1 Se 2.79
Bi8 0.8294 0.1706 0.6255  1 Se 2.79
Se1 0.8341 0.1659 0.3945  1 Bi 2.79
Se2 0.6659 0.3341 0.8945  1 Bi 2.79
Se3 0.1659 0.8341 0.6055  1 Bi 2.79
Se4 0.3341 0.6659 0.1055  1 Bi 2.79

Record 8
A plane-wave DFT calculation with PBE-GGA was carried out for crystalline NdDy2Tm at its relaxed geometry.

Results
calculated density	8.18	g/cm³
N(E_F)	9.15	states/eV/cell
formation energy from the elements	0.144	eV/atom
space-group type	Fm-3m (225)

Cell: 5.6799 5.6799 5.6799 Å, 60.00 60.00 60.00°
Closest atoms and distances in Å follow each position.
Element x y z (fractional)
Tm1 0.0000 0.0000 0.0000  8 Dy 3.48
Nd1 0.5000 0.5000 0.5000  8 Dy 3.48
Dy1 0.2500 0.2500 0.2500  4 Nd 3.48, 4 Tm 3.48
Dy2 0.7500 0.7500 0.7500  4 Nd 3.48, 4 Tm 3.48

Record 9
A plane-wave DFT calculation with PBE-GGA was carried out for crystalline MgGaPSe2 at its relaxed geometry.

Results
calculated density	3.78	g/cm³
N(E_F)	0.65	states/eV/cell
E_form (uncorrected)	0.072	eV per atom
space-group type	P4/mmm (123)

Cell: 5.1597 4.6649 5.1597 Å, 90.00 90.00 90.00°
Closest atoms and distances in Å follow each position.
Element x y z (fractional)
P1 0.0000 0.0000 0.0000  2 Mg 2.33, 4 Se 2.58
Mg1 0.0000 0.5000 0.0000  2 P 2.33
Ga1 0.5000 0.5000 0.5000  8 Se 3.48, 4 Mg 3.65
Se1 0.0000 0.0000 0.5000  2 P 2.58
Se2 0.5000 0.0000 0.0000  2 P 2.58

Record 10
A plane-wave DFT calculation with PBE-GGA was carried out for crystalline Rb2SbTe at its relaxed geometry.

Results
calculated density	4.14	g/cm³
N(E_F)	5.71	states/eV/cell
E_form (uncorrected)	-0.307	eV per atom
space-group type	I-42d (122)

Cell: 10.1453 10.1453 7.8860 Å, 49.97 49.97 90.00°
Closest atoms and distances in Å follow each position.
Element x y z (fractional)
Sb1 0.5000 0.5000 0.0000  2 Te 3.28
Sb2 0.2500 0.7500 0.5000  2 Te 3.28
Te1 0.0000 0.0000 0.0000  2 Sb 3.28, 4 Rb 3.56
Te2 0.7500 0.2500 0.5000  2 Sb 3.28, 4 Rb 3.56
Rb1 0.6430 0.1250 0.2500  2 Rb 3.30, 2 Te 3.56
Rb2 0.1070 0.6250 0.2500  2 Rb 3.30, 2 Te 3.56
Rb3 0.3750 0.3570 0.7500  2 Rb 3.30, 2 Te 3.56
Rb4 0.8750 0.8930 0.7500  2 Rb 3.30, 2 Te 3.56

Q: Which of these has the lowest calculated density?
A: MgGaPSe2

Q: Which of these has the highest N(E_F)?
A: Ca2Ac5Co2

Q: Which of these has the highest calculated density?
A: Cd2IrW

Q: Among the records above, which one has the lowest N(E_F)?
A: MgGaPSe2